--- w ---
The following is a DFT calculation (PBE-GGA) of a geometry-optimized FeMoPt structure.

Cell: 4.3425 4.3425 2.6587 Å, 90.00 90.00 120.00°
Space group P3m1 (No. 156)
Inequivalent atoms, fractional coordinates:
Fe 0.0000 0.0000 0.0000 [1 per cell]
Mo 0.6667 0.3333 0.4967 [1 per cell]
Pt 0.3333 0.6667 0.9969 [1 per cell]

Computed properties:
volume	14.47	Å³/atom
total magnetic moment	2.43	μB per formula unit
DOS at the Fermi energy	2.027	states/eV/cell
crystal system	trigonal

--- x ---
The following is a DFT calculation (PBE-GGA) of a geometry-optimized FeMoPt structure.

Cell: 2.7065 3.8512 8.2335 Å, 90.00 90.00 90.00°
Space group Imm2 (No. 44)
Inequivalent atoms, fractional coordinates:
Fe 0.0000 0.0000 0.0000 [2 per cell]
Mo 0.0000 0.0000 0.6587 [2 per cell]
Pt 0.0000 0.0000 0.3326 [2 per cell]

Computed properties:
volume	14.30	Å³/atom
total magnetic moment	1.85	μB per formula unit
DOS at the Fermi energy	5.902	states/eV/cell
crystal system	orthorhombic

Name the least stable of them. w.

--- w ---
The following is a DFT calculation (PBE-GGA) of a geometry-optimized Rb2FeMo structure.

Cell: 13.4593 13.4593 4.5148 Å, 90.00 90.00 90.00°
Space group I-42d (No. 122)
Inequivalent atoms, fractional coordinates:
Rb 0.0684 0.7500 0.1250 [8 per cell]
Fe 0.0000 0.0000 0.0000 [4 per cell]
Mo 0.0000 0.0000 0.5000 [4 per cell]

Computed properties:
volume	51.12	Å³/atom
total magnetic moment	0.81	μB per formula unit
DOS at the Fermi energy	22.839	states/eV/cell
crystal system	tetragonal

--- x ---
The following is a DFT calculation (PBE-GGA) of a geometry-optimized Rb2FeMo structure.

Cell: 8.6423 8.6423 8.6423 Å, 90.00 90.00 90.00°
Space group Fm-3m (No. 225)
Inequivalent atoms, fractional coordinates:
Rb 0.2500 0.2500 0.2500 [8 per cell]
Fe 0.0000 0.0000 0.0000 [4 per cell]
Mo 0.0000 0.0000 0.5000 [4 per cell]

Computed properties:
volume	40.34	Å³/atom
total magnetic moment	8.17	μB per formula unit
DOS at the Fermi energy	4.453	states/eV/cell
crystal system	cubic

Name the least stable of them. x.